# GGA-PBE MgCoIr3, relaxed
data_MgCoIr3
_symmetry_space_group_name_H-M 'P m -3 m'
_symmetry_Int_Tables_number 221
_symmetry_space_group_name_Hall '-P 4 2 3'
_cell_length_a 4.491
_cell_length_b 4.491
_cell_length_c 4.491
_cell_angle_alpha 90.00
_cell_angle_beta 90.00
_cell_angle_gamma 90.00
loop_
_atom_site_label
_atom_site_type_symbol
_atom_site_fract_x
_atom_site_fract_y
_atom_site_fract_z
_atom_site_occupancy
Mg1 Mg 0.000 0.000 0.000 1
Co1 Co 0.500 0.500 0.500 1
Ir1 Ir 0.000 0.500 0.500 1
# Fermi-level density of states in states/eV/atom: 0.955
# ΔH_f (0 K) in meV/atom: 1013
# Magnetic moment in Bohr magnetons per cell: 3.82